First-principles (PBE-GGA) data for a relaxed GdSF crystal, as listed in the Open Quantum Materials Database.

Geometry as CIF:
```
data_GdSF
_chemical_formula_sum 'Gd2 S2 F2'
_cell_length_a 8.6825
_cell_length_b 8.6825
_cell_length_c 8.6825
_cell_angle_alpha 27.06
_cell_angle_beta 27.06
_cell_angle_gamma 27.06
_symmetry_space_group_name_H-M 'P 1'
_symmetry_Int_Tables_number 1
loop_
_symmetry_equiv_pos_as_xyz
'x,y,z'
loop_
_atom_site_label
_atom_site_fract_x
_atom_site_fract_y
_atom_site_fract_z
Gd1 0.0000 0.0000 0.0000
Gd2 0.5000 0.5000 0.5000
S1 0.1092 0.1092 0.1092
S2 0.8908 0.8908 0.8908
F1 0.3326 0.3326 0.3326
F2 0.6674 0.6674 0.6674
```

***

First-principles (PBE-GGA) data for a relaxed Gd2SeSF2 crystal, as listed in the Open Quantum Materials Database.

Geometry as CIF:
```
data_Gd2SeSF2
_chemical_formula_sum 'Gd2 Se1 S1 F2'
_cell_length_a 3.8435
_cell_length_b 3.8435
_cell_length_c 6.9772
_cell_angle_alpha 90.00
_cell_angle_beta 90.00
_cell_angle_gamma 90.00
_symmetry_space_group_name_H-M 'P 1'
_symmetry_Int_Tables_number 1
loop_
_symmetry_equiv_pos_as_xyz
'x,y,z'
loop_
_atom_site_label
_atom_site_fract_x
_atom_site_fract_y
_atom_site_fract_z
Gd1 0.0000 0.0000 0.0000
Gd2 0.5000 0.5000 0.4447
Se1 0.0000 0.0000 0.5840
S1 0.5000 0.5000 0.8690
F1 0.0000 0.5000 0.2221
F2 0.5000 0.0000 0.2221
```

***

First-principles (PBE-GGA) data for a relaxed GdYS2F2 crystal, as listed in the Open Quantum Materials Database.

Geometry as CIF:
```
data_GdYS2F2
_chemical_formula_sum 'Gd1 Y1 S2 F2'
_cell_length_a 3.7683
_cell_length_b 3.7683
_cell_length_c 6.8193
_cell_angle_alpha 90.00
_cell_angle_beta 90.00
_cell_angle_gamma 90.00
_symmetry_space_group_name_H-M 'P 1'
_symmetry_Int_Tables_number 1
loop_
_symmetry_equiv_pos_as_xyz
'x,y,z'
loop_
_atom_site_label
_atom_site_fract_x
_atom_site_fract_y
_atom_site_fract_z
Gd1 0.0000 0.0000 0.0000
Y1 0.5000 0.5000 0.4572
S1 0.0000 0.0000 0.5848
S2 0.5000 0.5000 0.8711
F1 0.0000 0.5000 0.2285
F2 0.5000 0.0000 0.2285
```

***

Number 1: uncorrected energy -39.12 eV/cell. Number 2: uncorrected energy -38.29 eV/cell. Number 3: uncorrected energy -41.11 eV/cell.